# CeMn4O8

A relaxed structure of CeMn4O8 (PBE with a Hubbard U, Alexandria via LeMat-Bulk).

Unit cell a=5.894 b=5.894 c=7.375 alpha=125.66 beta=125.66 gamma=59.62
Fractional coordinates of all 13 atoms:
Ce (0.000, 0.000, 0.000)
Mn (0.256, 0.744, 0.500)
Mn (0.262, 0.262, 0.520)
Mn (0.738, 0.738, 0.480)
Mn (0.744, 0.256, 0.500)
O (0.002, 0.002, 0.321)
O (0.007, 0.527, 0.695)
O (0.473, 0.993, 0.305)
O (0.493, 0.493, 0.315)
O (0.507, 0.507, 0.685)
O (0.527, 0.007, 0.695)
O (0.993, 0.473, 0.305)
O (0.998, 0.998, 0.679)

* V: 164 Å³/cell
* magnetization: 0.0 μB/f.u.
* ρ: 4.949 g cm⁻³
* final energy: -7.38 eV/atom